Record 1
Density functional theory data (PBEsol) for a geometry-optimized OsSe3Cl structure.

Cell: 4.654 4.654 4.654 Å, 90.00 90.00 90.00°
Space group Pm-3m (No. 221)
Inequivalent atoms, fractional coordinates:
Os 0.000 0.000 0.000 x1
Se 0.000 0.500 0.500 x3
Cl 0.500 0.500 0.500 x1

Its raw formation energy is 179 kJ/mol of atoms.

***

Record 2
Density functional theory data (PBEsol) for a geometry-optimized Mg2Bi structure.

Cell: 6.304 6.296 8.018 Å, 90.00 109.87 90.00°
Space group C2/m (No. 12)
Inequivalent atoms, fractional coordinates:
Mg 0.137 0.000 0.313 x4
Mg 0.250 0.250 0.000 x4
Bi 0.131 0.500 0.291 x4

For the energy relative to the elements, the calculation gives -0.182 eV per atom.

***

Record 3
Density functional theory data (PBEsol) for a geometry-optimized ZnCrRu2 structure.

Cell: 2.878 2.878 6.171 Å, 90.00 90.00 90.00°
Space group P4/mmm (No. 123)
Inequivalent atoms, fractional coordinates:
Zn 0.000 0.000 0.000 x1
Cr 0.000 0.000 0.500 x1
Ru 0.500 0.500 0.263 x2

For the energy relative to the elements, the calculation gives 0.033 eV per atom.

***

Record 4
Density functional theory data (PBEsol) for a geometry-optimized Ba2AsH2 structure.

Cell: 4.053 4.053 14.603 Å, 90.00 90.00 90.00°
Space group I4/mmm (No. 139)
Inequivalent atoms, fractional coordinates:
Ba 0.000 0.000 0.139 x4
As 0.000 0.000 0.500 x2
H 0.000 0.500 0.250 x4

For the total energy, the calculation gives -3.8058 eV/atom.

***

Record 5
Density functional theory data (PBEsol) for a geometry-optimized GeSeN3 structure.

Cell: 3.762 3.762 3.762 Å, 90.00 90.00 90.00°
Space group Pm-3m (No. 221)
Inequivalent atoms, fractional coordinates:
Ge 0.000 0.000 0.000 x1
Se 0.500 0.500 0.500 x1
N 0.000 0.500 0.500 x3

Its raw formation energy is 153 kJ/mol of atoms.

***

Record 6
Density functional theory data (PBEsol) for a geometry-optimized LiAu2 structure.

Cell: 10.413 2.824 6.703 Å, 90.00 104.45 90.00°
Space group Cm (No. 8)
Inequivalent atoms, fractional coordinates:
Li 0.000 0.000 0.000 x2
Li 0.188 0.500 0.361 x2
Au 0.067 0.000 0.629 x2
Au 0.225 0.500 0.979 x2
Au 0.339 0.000 0.681 x2
Au 0.411 0.000 0.285 x2

For the energy relative to the elements, the calculation gives -0.330 eV per atom.

***

Record 7
Density functional theory data (PBEsol) for a geometry-optimized KCeF4 structure.

Cell: 4.000 4.000 6.146 Å, 90.00 90.00 90.00°
Space group P4/mmm (No. 123)
Inequivalent atoms, fractional coordinates:
K 0.000 0.000 0.000 x1
Ce 0.500 0.500 0.500 x1
F 0.000 0.500 0.286 x4

Its raw formation energy is -346 kJ/mol of atoms.

***

Record 8
Density functional theory data (PBEsol) for a geometry-optimized AlCd3 structure.

Cell: 2.993 5.425 4.992 Å, 90.00 90.00 90.00°
Space group Pmm2 (No. 25)
Inequivalent atoms, fractional coordinates:
Al 0.000 0.000 0.000 x1
Cd 0.000 0.500 0.308 x1
Cd 0.500 0.000 0.500 x1
Cd 0.500 0.500 0.812 x1

For the energy relative to the elements, the calculation gives 0.107 eV per atom.

***

Record 9
Density functional theory data (PBEsol) for a geometry-optimized Zn2PCl structure.

Cell: 4.024 4.024 5.239 Å, 90.00 90.00 90.00°
Space group P-4m2 (No. 115)
Inequivalent atoms, fractional coordinates:
Zn 0.000 0.500 0.201 x2
P 0.500 0.500 0.000 x1
Cl 0.000 0.000 0.500 x1

Its raw formation energy is -46 kJ/mol of atoms. As for the energy above the most stable polymorph in this dataset: 3 meV/atom.

***

Record 10
Density functional theory data (PBEsol) for a geometry-optimized Tl2ZnOs structure.

Cell: 4.063 4.063 8.771 Å, 90.00 90.00 90.00°
Space group I-4m2 (No. 119)
Inequivalent atoms, fractional coordinates:
Tl 0.000 0.000 0.000 x2
Tl 0.000 0.500 0.250 x2
Zn 0.000 0.000 0.500 x2
Os 0.000 0.500 0.750 x2

As for the energy above the most stable polymorph in this dataset: 150 meV/atom. For the energy relative to the elements, the calculation gives 0.711 eV per atom.

***

Record 11
Density functional theory data (PBEsol) for a geometry-optimized SrCuTe2 structure.

Cell: 4.357 4.357 10.966 Å, 90.00 90.00 90.00°
Space group I-4m2 (No. 119)
Inequivalent atoms, fractional coordinates:
Sr 0.000 0.000 0.000 x2
Cu 0.000 0.500 0.250 x2
Te 0.000 0.000 0.500 x2
Te 0.000 0.500 0.750 x2

Its raw formation energy is -36 kJ/mol of atoms.

***

Record 12
Density functional theory data (PBEsol) for a geometry-optimized AlIn2Fe structure.

Cell: 2.768 4.454 12.222 Å, 90.00 90.00 90.00°
Space group Imm2 (No. 44)
Inequivalent atoms, fractional coordinates:
Al 0.000 0.000 0.000 x2
In 0.000 0.000 0.366 x2
In 0.000 0.500 0.174 x2
Fe 0.000 0.500 0.669 x2

For the energy relative to the elements, the calculation gives 0.107 eV per atom.

***

Record 13
Density functional theory data (PBEsol) for a geometry-optimized ZnSiTe2 structure.

Cell: 7.064 7.064 7.064 Å, 90.00 90.00 90.00°
Space group F-43m (No. 216)
Inequivalent atoms, fractional coordinates:
Zn 0.000 0.000 0.000 x4
Si 0.250 0.250 0.750 x4
Te 0.000 0.000 0.500 x4
Te 0.250 0.250 0.250 x4

Its raw formation energy is 48 kJ/mol of atoms. As for the energy above the most stable polymorph in this dataset: 526 meV/atom.

***

Record 14
Density functional theory data (PBEsol) for a geometry-optimized Ca2NiSb structure.

Cell: 3.7703 3.7703 24.4885 Å, 90.00 90.00 120.00°
Space group R-3m (No. 166, hexagonal axes)
Inequivalent atoms, fractional coordinates:
Ca 0.0000 0.0000 0.2364 x6
Ni 0.0000 0.0000 0.5000 x3
Sb 0.0000 0.0000 0.0000 x3

Its raw formation energy is -17 kJ/mol of atoms.

***

Record 15
Density functional theory data (PBEsol) for a geometry-optimized CsBeRu3 structure.

Cell: 4.316 4.316 4.316 Å, 90.00 90.00 90.00°
Space group Pm-3m (No. 221)
Inequivalent atoms, fractional coordinates:
Cs 0.000 0.000 0.000 x1
Be 0.500 0.500 0.500 x1
Ru 0.000 0.500 0.500 x3

As for the energy above the most stable polymorph in this dataset: 0 meV/atom. For the energy relative to the elements, the calculation gives 1.481 eV per atom.

***

Record 16
Density functional theory data (PBEsol) for a geometry-optimized Al3ReCl structure.

Cell: 4.805 4.805 4.805 Å, 90.00 90.00 90.00°
Space group Pm-3m (No. 221)
Inequivalent atoms, fractional coordinates:
Al 0.000 0.000 0.500 x3
Re 0.000 0.000 0.000 x1
Cl 0.500 0.500 0.500 x1

Its raw formation energy is 37 kJ/mol of atoms.

***

Record 17
Density functional theory data (PBEsol) for a geometry-optimized LiScRh structure.

Cell: 3.244 3.244 8.994 Å, 90.00 90.00 90.00°
Space group I4mm (No. 107)
Inequivalent atoms, fractional coordinates:
Li 0.000 0.000 0.000 x2
Sc 0.000 0.000 0.298 x2
Rh 0.000 0.000 0.647 x2

As for the energy above the most stable polymorph in this dataset: 0 meV/atom. For the energy relative to the elements, the calculation gives -0.411 eV per atom.

***

Record 18
Density functional theory data (PBEsol) for a geometry-optimized InAgTe2 structure.

Cell: 3.886 5.209 10.032 Å, 90.00 90.00 90.00°
Space group Cmmm (No. 65)
Inequivalent atoms, fractional coordinates:
In 0.000 0.000 0.000 x2
Ag 0.000 0.000 0.500 x2
Te 0.000 0.500 0.282 x4

Its raw formation energy is 8 kJ/mol of atoms.

***

Record 19
Density functional theory data (PBEsol) for a geometry-optimized NaAlNiP2 structure.

Cell: 4.494 4.494 4.451 Å, 90.00 90.00 90.00°
Space group P4/mmm (No. 123)
Inequivalent atoms, fractional coordinates:
Na 0.000 0.000 0.000 x1
Al 0.500 0.500 0.000 x1
Ni 0.500 0.500 0.500 x1
P 0.000 0.500 0.500 x2

For the energy relative to the elements, the calculation gives 0.179 eV per atom.

***

Record 20
Density functional theory data (PBEsol) for a geometry-optimized LiTlAu2 structure.

Cell: 4.168 4.168 8.225 Å, 90.00 90.00 90.00°
Space group I-4m2 (No. 119)
Inequivalent atoms, fractional coordinates:
Li 0.000 0.000 0.000 x2
Tl 0.000 0.500 0.750 x2
Au 0.000 0.000 0.500 x2
Au 0.000 0.500 0.250 x2

For the energy relative to the elements, the calculation gives -0.256 eV per atom.

***

Record 21
Density functional theory data (PBEsol) for a geometry-optimized BAs2AuBr structure.

Cell: 4.923 4.923 5.326 Å, 90.00 90.00 90.00°
Space group P4/mmm (No. 123)
Inequivalent atoms, fractional coordinates:
B 0.000 0.000 0.000 x1
As 0.000 0.500 0.500 x2
Au 0.500 0.500 0.500 x1
Br 0.500 0.500 0.000 x1

Its raw formation energy is 154 kJ/mol of atoms.

***

Record 22
Density functional theory data (PBEsol) for a geometry-optimized MnWO4 structure.

Cell: 4.732 5.712 4.981 Å, 90.00 91.18 90.00°
Space group P2/c (No. 13)
Inequivalent atoms, fractional coordinates:
Mn 0.000 0.175 0.250 x2
W 0.500 0.323 0.750 x2
O 0.242 0.124 0.600 x4
O 0.284 0.393 0.064 x4

Its raw formation energy is -185 kJ/mol of atoms.

***

Record 23
Density functional theory data (PBEsol) for a geometry-optimized CrSbBr2 structure.

Cell: 3.434 3.434 8.007 Å, 90.00 90.00 90.00°
Space group P4mm (No. 99)
Inequivalent atoms, fractional coordinates:
Cr 0.000 0.000 0.000 x1
Sb 0.500 0.500 0.202 x1
Br 0.000 0.000 0.451 x1
Br 0.500 0.500 0.820 x1

Its raw formation energy is 1 kJ/mol of atoms. As for the energy above the most stable polymorph in this dataset: 91 meV/atom.

***

Record 24
Density functional theory data (PBEsol) for a geometry-optimized CsReOs3 structure.

Cell: 4.752 4.752 4.752 Å, 90.00 90.00 90.00°
Space group Pm-3m (No. 221)
Inequivalent atoms, fractional coordinates:
Cs 0.000 0.000 0.000 x1
Re 0.500 0.500 0.500 x1
Os 0.000 0.000 0.500 x3

For the energy relative to the elements, the calculation gives 4.607 eV per atom.

***

Record 25
Density functional theory data (PBEsol) for a geometry-optimized ScAl2Hg structure.

Cell: 6.698 6.698 6.698 Å, 90.00 90.00 90.00°
Space group F-43m (No. 216)
Inequivalent atoms, fractional coordinates:
Sc 0.000 0.000 0.000 x4
Al 0.000 0.000 0.500 x4
Al 0.250 0.250 0.750 x4
Hg 0.250 0.250 0.250 x4

For the energy relative to the elements, the calculation gives -0.148 eV per atom.

***

Record 26
Density functional theory data (PBEsol) for a geometry-optimized IrSe2Cl structure.

Cell: 2.887 5.216 10.330 Å, 90.00 90.00 90.00°
Space group Cmm2 (No. 35)
Inequivalent atoms, fractional coordinates:
Ir 0.000 0.000 0.000 x2
Se 0.000 0.000 0.488 x2
Se 0.000 0.500 0.193 x2
Cl 0.000 0.500 0.810 x2

Its raw formation energy is 35 kJ/mol of atoms. As for the energy above the most stable polymorph in this dataset: 580 meV/atom.

***

Record 27
Density functional theory data (PBEsol) for a geometry-optimized Hg2SbP structure.

Cell: 3.7885 3.7885 22.5463 Å, 90.00 90.00 120.00°
Space group R3m (No. 160, hexagonal axes)
Inequivalent atoms, fractional coordinates:
Hg 0.0000 0.0000 0.0000 x3
Hg 0.0000 0.0000 0.2458 x3
Sb 0.0000 0.0000 0.4808 x3
P 0.0000 0.0000 0.7479 x3

Its raw formation energy is 7 kJ/mol of atoms. As for the energy above the most stable polymorph in this dataset: 0 meV/atom.

***

Record 28
Density functional theory data (PBEsol) for a geometry-optimized LaTlSN2 structure.

Cell: 4.262 4.262 5.020 Å, 90.00 90.00 90.00°
Space group P4/mmm (No. 123)
Inequivalent atoms, fractional coordinates:
La 0.000 0.000 0.000 x1
Tl 0.500 0.500 0.500 x1
S 0.500 0.500 0.000 x1
N 0.000 0.500 0.500 x2

Its raw formation energy is 43 kJ/mol of atoms.

***

Record 29
Density functional theory data (PBEsol) for a geometry-optimized MgHgPt2 structure.

Cell: 4.099 4.099 7.784 Å, 90.00 90.00 90.00°
Space group I4/mmm (No. 139)
Inequivalent atoms, fractional coordinates:
Mg 0.000 0.000 0.000 x2
Hg 0.000 0.000 0.500 x2
Pt 0.000 0.500 0.250 x4

For the energy relative to the elements, the calculation gives -0.461 eV per atom.